# 1
Here is an optimized crystal structure of RbNb4Se8 from Alexandria. Energies are from PBE.

The space group is C2/m (No. 12) and the conventional cell measures 17.936, 3.521 and 12.538 Å, with angles of 90.00, 130.09 and 90.00 degrees. The inequivalent atoms are Rb at (0.000, 0.000, 0.000), Nb at (0.158, 0.000, 0.477), Nb at (0.175, 0.500, 0.858), Se at (0.036, 0.000, 0.740), Se at (0.130, 0.500, 0.598), Se at (0.157, 0.500, 0.318) and Se at (0.196, 0.500, 0.084).

The calculation puts the magnetization at 0.0 μB/f.u. The offset from the most stable computed form comes out at 0.000 eV per atom. The electronic total energy is -159.90 eV for the cell shown. Its formation energy from raw total energies is -0.833 eV per atom.

=====

# 2
Here is an optimized crystal structure of MgSe2Br from Alexandria. Energies are from PBE.

The space group is P4mm (No. 99) and the conventional cell measures 3.362, 3.362 and 8.839 Å, with angles of 90.00, 90.00 and 90.00 degrees. The inequivalent atoms are Mg at (0.000, 0.000, 0.000), Se at (0.000, 0.000, 0.391), Se at (0.500, 0.500, 0.194) and Br at (0.500, 0.500, 0.820).

The calculation puts the magnetization at 0.0 μB/f.u. The offset from the most stable computed form comes out at 0.429 eV per atom. The electronic total energy is -11.16 eV for the cell shown. Its formation energy from raw total energies is -0.232 eV per atom.

=====

# 3
Here is an optimized crystal structure of PrSmSi2 from Alexandria. Energies are from PBE.

The space group is Pmc2_1 (No. 26) and the conventional cell measures 3.940, 5.907 and 8.230 Å, with angles of 90.00, 90.00 and 90.00 degrees. The inequivalent atoms are Pr at (0.000, 0.135, 0.000), Sm at (0.500, 0.364, 0.640), Si at (0.000, 0.376, 0.356) and Si at (0.500, 0.132, 0.286).

The calculation puts the magnetization at 0.0 μB/f.u. The offset from the most stable computed form comes out at 0.000 eV per atom. The electronic total energy is -46.80 eV for the cell shown. Its formation energy from raw total energies is -0.763 eV per atom.

=====

# 4
Here is an optimized crystal structure of LaPr3Cd from Alexandria. Energies are from PBE.

The space group is Cm (No. 8) and the conventional cell measures 17.213, 5.410 and 7.238 Å, with angles of 90.00, 90.05 and 90.00 degrees. The inequivalent atoms are La at (0.000, 0.000, 0.000), La at (0.223, 0.000, 0.500), Pr at (0.003, 0.000, 0.506), Pr at (0.109, 0.500, 0.255), Pr at (0.115, 0.500, 0.755), Pr at (0.220, 0.000, 0.006), Pr at (0.319, 0.500, 0.250), Pr at (0.404, 0.000, 0.750), Cd at (0.307, 0.500, 0.753) and Cd at (0.416, 0.000, 0.252).

The calculation puts the magnetization at 0.0 μB/f.u. The offset from the most stable computed form comes out at 0.019 eV per atom. Its formation energy is -0.090 eV per atom. The electronic total energy is -82.52 eV for the cell shown.

=====

# 5
Here is an optimized crystal structure of Er4Al3Cd from Alexandria. Energies are from PBE.

The space group is P4/mmm (No. 123) and the conventional cell measures 3.569, 3.569 and 14.678 Å, with angles of 90.00, 90.00 and 90.00 degrees. The inequivalent atoms are Er at (0.000, 0.000, 0.121), Er at (0.000, 0.000, 0.363), Al at (0.500, 0.500, 0.000), Al at (0.500, 0.500, 0.243) and Cd at (0.500, 0.500, 0.500).

The calculation puts the magnetization at 0.0 μB/f.u. The offset from the most stable computed form comes out at 0.000 eV per atom. Its formation energy is -0.377 eV per atom. The electronic total energy is -33.41 eV for the cell shown.

=====

# 6
Here is an optimized crystal structure of Tb2NdNi from Alexandria. Energies are from PBE.

The space group is Pnma (No. 62) and the conventional cell measures 6.934, 9.690 and 6.444 Å, with angles of 90.00, 90.00 and 90.00 degrees. The inequivalent atoms are Tb at (0.176, 0.067, 0.175), Nd at (0.033, 0.250, 0.640) and Ni at (0.111, 0.750, 0.931).

The calculation puts the magnetization at 0.0 μB/f.u. The offset from the most stable computed form comes out at 0.000 eV per atom. Its formation energy is -0.216 eV per atom. The electronic total energy is -82.69 eV for the cell shown.